--- A ---
## Mo4W (GGA-PBE)

Data for a geometry-optimized Mo4W structure.

* density of states at the Fermi level: 0.85 states/eV/atom

The structure in extended XYZ format:
```
10
Lattice="4.584 -0.198 0.000 -1.783 4.774 0.000 0.000 0.000 7.838" Properties=species:S:1:pos:R:3 pbc="T T T"
Mo 4.110 0.994 3.256
Mo 1.440 3.032 6.661
Mo 1.361 1.544 1.177
Mo -1.310 3.582 4.583
Mo 3.653 1.445 6.661
Mo 1.818 1.093 4.583
Mo 0.982 3.483 3.256
Mo -0.852 3.131 1.177
W 1.146 -0.049 6.903
W 3.438 -0.148 0.935
```


--- B ---
## Mo4W (GGA-PBE)

Data for a geometry-optimized Mo4W structure.

* density of states at the Fermi level: 1.33 states/eV/atom

The structure in extended XYZ format:
```
5
Lattice="4.683 0.000 0.000 0.000 4.683 0.000 0.000 0.000 4.683" Properties=species:S:1:pos:R:3 pbc="T T T"
Mo 0.000 0.000 0.000
Mo 2.342 0.000 2.342
Mo 0.000 2.342 2.342
Mo 2.342 2.342 0.000
W 2.342 2.342 2.342
```


--- C ---
## Mo4W (GGA-PBE)

Data for a geometry-optimized Mo4W structure.

* density of states at the Fermi level: 0.54 states/eV/atom

The structure in extended XYZ format:
```
5
Lattice="-2.353 -0.904 -1.111 1.614 0.824 -4.087 2.393 -6.091 2.163" Properties=species:S:1:pos:R:3 pbc="T T T"
Mo 1.151 -5.082 -0.570
Mo 0.503 -1.089 -2.466
Mo 2.256 -3.177 -2.195
Mo -0.601 -2.994 -0.841
W 0.000 0.000 0.000
```


--- D ---
## Mo4W (GGA-PBE)

Data for a geometry-optimized Mo4W structure.

* density of states at the Fermi level: 0.73 states/eV/atom

The structure in extended XYZ format:
```
5
Lattice="3.172 0.000 0.000 1.586 5.008 0.000 -1.586 0.000 5.008" Properties=species:S:1:pos:R:3 pbc="T T T"
Mo 0.000 1.002 3.005
Mo 1.586 3.005 4.006
Mo 3.172 4.006 2.003
Mo 1.586 2.003 1.002
W 0.000 0.000 0.000
```


C has the most favorable energy; the next structure is 7 meV per atom above.


--- A ---
## Mo5W2 (GGA-PBE)

Data for a geometry-optimized Mo5W2 structure.

* density of states at the Fermi level: 0.64 states/eV/atom

The structure in extended XYZ format:
```
14
Lattice="-4.091 3.092 -1.754 1.587 -1.127 -5.686 -2.200 -7.088 1.009" Properties=species:S:1:pos:R:3 pbc="T T T"
Mo -0.983 -1.714 -2.826
Mo -5.539 -2.070 -1.201
Mo -0.823 -4.311 -3.568
Mo -2.056 -2.154 -5.263
Mo -3.881 -0.811 -2.862
Mo -2.648 -2.968 -1.168
Mo 0.835 -3.052 -5.230
Mo -3.722 -3.408 -3.605
Mo -3.189 2.429 -2.959
Mo 0.685 -0.463 -4.481
W -2.504 -5.569 -1.905
W -1.981 0.245 -1.249
W -2.200 0.447 -4.526
W -2.723 -5.367 -5.182
```


--- B ---
## Mo5W2 (GGA-PBE)

Data for a geometry-optimized Mo5W2 structure.

* density of states at the Fermi level: 0.52 states/eV/atom

The structure in extended XYZ format:
```
7
Lattice="-1.880 -3.912 1.090 0.420 1.155 -4.316 6.094 -2.282 2.324" Properties=species:S:1:pos:R:3 pbc="T T T"
Mo 0.064 -0.735 -2.527
Mo 4.570 -4.303 1.626
Mo 3.694 -1.810 -0.122
Mo 2.107 -3.097 1.707
Mo 0.940 -3.229 -0.780
W 1.231 -0.603 -0.041
W 3.403 -4.435 -0.861
```


B has the most favorable energy; the next structure is 248 meV per atom above.


--- A ---
## Mo3W5 (GGA-PBE)

Data for a geometry-optimized Mo3W5 structure.

* density of states at the Fermi level: 0.65 states/eV/atom

The structure in extended XYZ format:
```
8
Lattice="5.500 -0.009 0.000 1.821 5.190 0.000 0.000 0.000 4.493" Properties=species:S:1:pos:R:3 pbc="T T T"
Mo 3.660 2.591 0.000
Mo 1.828 1.294 2.247
Mo 5.493 3.887 2.247
W 0.000 0.000 0.000
W 0.910 2.595 0.000
W 2.750 -0.004 0.000
W 4.579 1.293 2.247
W 2.742 3.888 2.247
```


--- B ---
## Mo3W5 (GGA-PBE)

Data for a geometry-optimized Mo3W5 structure.

* density of states at the Fermi level: 0.77 states/eV/atom

The structure in extended XYZ format:
```
16
Lattice="-1.372 -3.373 3.508 6.570 -2.685 3.663 0.156 6.749 2.907" Properties=species:S:1:pos:R:3 pbc="T T T"
Mo -0.151 5.626 3.533
Mo -0.838 3.939 5.287
Mo 2.457 2.352 6.887
Mo 2.855 -1.411 3.421
Mo 4.711 -1.547 7.675
Mo 0.594 2.581 2.719
W 2.335 -0.518 5.916
W 3.027 1.184 4.147
W 5.292 -1.071 4.707
W 0.522 1.590 5.385
W 1.849 3.933 4.521
W 3.760 -3.185 5.719
W 4.626 1.039 6.478
W 0.282 -0.384 3.394
W 0.563 -2.731 4.891
W 4.524 3.581 5.233
```


--- C ---
## Mo3W5 (GGA-PBE)

Data for a geometry-optimized Mo3W5 structure.

* density of states at the Fermi level: 0.51 states/eV/atom

The structure in extended XYZ format:
```
8
Lattice="3.178 0.000 0.000 0.000 3.178 0.000 0.000 0.000 12.709" Properties=species:S:1:pos:R:3 pbc="T T T"
Mo 1.589 1.589 1.584
Mo 1.589 1.589 11.126
Mo 0.000 0.000 6.355
W 0.000 0.000 3.175
W 1.589 1.589 7.943
W 1.589 1.589 4.766
W 0.000 0.000 9.534
W 0.000 0.000 0.000
```


C has the most favorable energy; the next structure is 6 meV per atom above.


--- A ---
## Mo3W5 (GGA-PBE)

Data for a geometry-optimized Mo3W5 structure.

* density of states at the Fermi level: 0.54 states/eV/atom

The structure in extended XYZ format:
```
16
Lattice="-6.110 -1.540 0.837 -0.446 -1.570 -6.143 1.695 -5.964 1.401" Properties=species:S:1:pos:R:3 pbc="T T T"
Mo -5.707 -6.090 -4.604
Mo -5.485 -5.307 -1.535
Mo -4.493 -3.825 -3.629
Mo -3.646 -6.803 -2.929
Mo -2.654 -5.321 -5.023
Mo -3.279 -1.555 -2.654
W -6.554 -3.109 -5.304
W -6.330 -2.325 -2.237
W -4.270 -3.041 -0.557
W -3.423 -6.018 0.142
W -3.503 -2.340 -5.722
W -2.433 -4.538 -1.955
W -1.215 -2.271 -0.976
W -0.368 -5.248 -0.277
W -1.438 -3.055 -4.048
W -0.591 -6.033 -3.348
```


--- B ---
## Mo3W5 (GGA-PBE)

Data for a geometry-optimized Mo3W5 structure.

* density of states at the Fermi level: 0.81 states/eV/atom

The structure in extended XYZ format:
```
16
Lattice="7.644 0.000 0.000 -3.822 6.620 0.000 0.000 0.000 5.251" Properties=species:S:1:pos:R:3 pbc="T T T"
Mo -1.522 2.636 3.938
Mo -2.300 3.983 1.313
Mo 3.044 0.000 3.938
Mo 1.522 2.636 1.313
Mo 0.778 6.620 1.313
Mo 2.300 3.983 3.938
W -0.865 1.497 1.313
W -2.957 5.122 3.938
W 1.729 0.000 1.313
W 0.865 1.497 3.938
W 0.000 4.413 0.000
W 0.000 4.413 2.626
W 3.822 2.207 0.000
W 3.822 2.207 2.626
W 2.093 6.620 3.938
W 2.957 5.122 1.313
```


A has the most favorable energy; the next structure is 451 meV per atom above.


--- A ---
## Mo4W5 (GGA-PBE)

Data for a geometry-optimized Mo4W5 structure.

* density of states at the Fermi level: 1.30 states/eV/atom

The structure in extended XYZ format:
```
9
Lattice="4.321 0.000 0.000 2.161 6.380 0.000 2.161 0.000 6.380" Properties=species:S:1:pos:R:3 pbc="T T T"
Mo 2.161 0.343 2.507
Mo 4.321 3.873 0.343
Mo 4.321 2.507 6.037
Mo 6.482 6.037 3.873
W 2.161 0.000 0.000
W 2.161 4.945 1.425
W 4.321 4.955 4.945
W 4.321 1.425 1.435
W 6.482 1.435 4.955
```


--- B ---
## Mo4W5 (GGA-PBE)

Data for a geometry-optimized Mo4W5 structure.

* density of states at the Fermi level: 0.96 states/eV/atom

The structure in extended XYZ format:
```
18
Lattice="-5.981 1.603 -5.190 0.079 -3.267 -7.390 -2.652 -4.107 1.787" Properties=species:S:1:pos:R:3 pbc="T T T"
Mo 0.000 0.000 0.000
Mo -1.326 -2.053 0.894
Mo -4.438 -1.196 -5.544
Mo -0.613 -3.104 -4.253
Mo -2.840 -0.443 -1.443
Mo -4.116 -4.574 -5.249
Mo -1.960 -4.269 -1.350
Mo -5.793 -2.060 -1.961
W -2.421 -2.817 -6.276
W -0.639 -2.017 -1.794
W -4.831 0.091 -3.170
W -6.133 -2.953 -4.517
W -1.933 -5.356 -3.809
W -3.802 -2.594 -0.233
W -1.967 -0.555 -4.193
W -5.261 -3.162 -7.493
W -3.935 -1.109 -8.387
W -3.293 -2.608 -3.300
```


--- C ---
## Mo4W5 (GGA-PBE)

Data for a geometry-optimized Mo4W5 structure.

* density of states at the Fermi level: 0.44 states/eV/atom

The structure in extended XYZ format:
```
9
Lattice="-1.081 2.422 1.753 -1.400 -2.953 6.097 6.814 0.089 1.194" Properties=species:S:1:pos:R:3 pbc="T T T"
Mo 0.979 -1.130 5.047
Mo 3.354 0.689 3.998
Mo 1.805 -0.955 2.432
Mo 3.608 -1.909 4.859
W 0.000 0.000 0.000
W 4.181 0.866 1.380
W 1.552 1.644 1.567
W -1.654 -0.353 5.233
W -0.827 -0.177 2.618
```


C has the most favorable energy; the next structure is 434 meV per atom above.


--- A ---
## YMoW (GGA-PBE)

Data for a geometry-optimized YMoW structure.

* density of states at the Fermi level: 0.87 states/eV/atom

The structure in extended XYZ format:
```
3
Lattice="-0.160 -3.855 6.522 1.724 -5.320 4.766 1.369 1.720 1.986" Properties=species:S:1:pos:R:3 pbc="T T T"
Mo 1.560 -9.022 11.157
W 1.437 -2.073 5.225
Y 1.498 -5.536 8.181
```


--- B ---
## YMoW (GGA-PBE)

Data for a geometry-optimized YMoW structure.

* density of states at the Fermi level: 1.17 states/eV/atom

The structure in extended XYZ format:
```
3
Lattice="5.943 -0.003 0.000 4.115 4.288 0.000 -5.029 -2.143 2.332" Properties=species:S:1:pos:R:3 pbc="T T T"
Mo 9.811 4.180 0.000
W 3.606 1.536 0.000
Y 6.699 2.854 0.000
```


B has the most favorable energy; the next structure is 176 meV per atom above.


--- A ---
## Y2MoW (GGA-PBE)

Data for a geometry-optimized Y2MoW structure.

* density of states at the Fermi level: 1.19 states/eV/atom

The structure in extended XYZ format:
```
4
Lattice="3.087 -0.002 0.000 -1.156 2.862 0.000 0.000 0.000 10.088" Properties=species:S:1:pos:R:3 pbc="T T T"
Mo 0.000 0.000 5.355
W 0.965 1.430 7.237
Y 0.000 0.000 9.700
Y 0.965 1.430 2.929
```


--- B ---
## Y2MoW (GGA-PBE)

Data for a geometry-optimized Y2MoW structure.

* density of states at the Fermi level: 0.85 states/eV/atom

The structure in extended XYZ format:
```
4
Lattice="10.133 0.016 0.009 9.601 3.243 0.009 9.601 1.585 2.829" Properties=species:S:1:pos:R:3 pbc="T T T"
Mo 14.315 2.364 1.389
W 22.365 3.693 2.171
Y 0.370 0.061 0.036
Y 6.952 1.148 0.675
```


A has the most favorable energy; the next structure is 37 meV per atom above.


--- A ---
## Y2Mo2W (GGA-PBE)

Data for a geometry-optimized Y2Mo2W structure.

* density of states at the Fermi level: 1.21 states/eV/atom

The structure in extended XYZ format:
```
5
Lattice="-1.692 0.063 -3.576 -2.183 -3.151 0.978 -6.914 2.656 1.130" Properties=species:S:1:pos:R:3 pbc="T T T"
Y -5.272 0.587 -1.872
Y -5.517 -1.020 0.404
Mo -2.713 -0.890 -0.921
Mo -8.076 0.457 -0.547
W 0.000 0.000 0.000
```


--- B ---
## Y2Mo2W (GGA-PBE)

Data for a geometry-optimized Y2Mo2W structure.

* density of states at the Fermi level: 0.99 states/eV/atom

The structure in extended XYZ format:
```
10
Lattice="-4.359 1.198 -4.821 -4.738 -2.928 3.557 -1.128 4.391 2.111" Properties=species:S:1:pos:R:3 pbc="T T T"
Y -4.538 0.427 2.611
Y -7.415 0.594 0.725
Y -5.688 2.235 -1.764
Y -2.811 2.067 0.123
Mo -5.688 -2.095 1.317
Mo -6.779 -0.824 -1.910
Mo -3.409 0.365 -2.581
Mo -2.318 -0.906 0.646
W 0.000 0.000 0.000
W -4.549 -0.865 -0.632
```


B has the most favorable energy; the next structure is 952 meV per atom above.


--- A ---
## YMoW3 (GGA-PBE)

Data for a geometry-optimized YMoW3 structure.

* density of states at the Fermi level: 1.17 states/eV/atom

The structure in extended XYZ format:
```
5
Lattice="-2.784 -2.154 -3.129 -0.654 -3.550 3.025 -3.742 2.222 1.800" Properties=species:S:1:pos:R:3 pbc="T T T"
Y 0.000 0.000 0.000
Mo -3.590 -1.741 0.848
W -0.327 -1.775 1.512
W -1.871 1.111 0.900
W -1.392 -1.077 -1.565
```


--- B ---
## YMoW3 (GGA-PBE)

Data for a geometry-optimized YMoW3 structure.

* density of states at the Fermi level: 1.48 states/eV/atom

The structure in extended XYZ format:
```
5
Lattice="4.809 0.000 0.000 0.000 4.809 0.000 0.000 0.000 4.809" Properties=species:S:1:pos:R:3 pbc="T T T"
Y 2.405 2.405 2.405
Mo 0.000 0.000 0.000
W 0.000 2.405 0.000
W 0.000 0.000 2.405
W 2.405 0.000 0.000
```


B has the most favorable energy; the next structure is 1678 meV per atom above.


--- A ---
## Zn2MoW (GGA-PBE)

Data for a geometry-optimized Zn2MoW structure.

* density of states at the Fermi level: 0.79 states/eV/atom

The structure in extended XYZ format:
```
4
Lattice="3.280 0.000 0.000 0.000 3.280 0.000 0.000 0.000 5.808" Properties=species:S:1:pos:R:3 pbc="T T T"
Mo 0.000 0.000 3.031
W 1.640 1.640 4.233
Zn 0.000 0.000 0.084
Zn 1.640 1.640 1.365
```


--- B ---
## Zn2MoW (GGA-PBE)

Data for a geometry-optimized Zn2MoW structure.

* density of states at the Fermi level: 0.56 states/eV/atom

The structure in extended XYZ format:
```
4
Lattice="-0.238 -2.666 0.383 0.919 0.381 -2.514 8.315 -0.312 2.993" Properties=species:S:1:pos:R:3 pbc="T T T"
Mo 4.142 -0.155 1.491
W 6.586 -1.377 1.182
Zn 0.022 -0.001 0.008
Zn 2.403 -1.220 -0.323
```


B has the most favorable energy; the next structure is 94 meV per atom above.